Entry 1:
This record from the Alexandria database describes Sm6AlPd2 after structural relaxation. The functional is GGA-PBE.

```
Sm6AlPd2
1.0
-4.785 4.967 5.289
4.785 -4.967 5.289
4.785 4.967 -5.289
Sm Al Pd
12 2 4
Direct
0.047 0.239 0.808
0.180 0.286 0.466
0.180 0.714 0.895
0.328 0.028 0.700
0.328 0.627 0.300
0.431 0.239 0.192
0.569 0.761 0.808
0.672 0.373 0.700
0.672 0.972 0.300
0.820 0.286 0.105
0.820 0.714 0.534
0.953 0.761 0.192
0.000 0.000 0.000
0.500 0.500 0.000
0.131 0.631 0.500
0.342 0.000 0.342
0.658 0.000 0.658
0.869 0.369 0.500
```

Entry 2:
This record from the Alexandria database describes SmAl6Pd12 after structural relaxation. The functional is GGA-PBE.

```
SmAl6Pd12
1.0
5.739 3.313 2.779
-5.739 3.313 2.779
0.000 -6.626 2.779
Sm Al Pd
1 6 12
Direct
0.000 0.000 0.000
0.268 0.268 0.708
0.268 0.708 0.268
0.292 0.732 0.732
0.708 0.268 0.268
0.732 0.292 0.732
0.732 0.732 0.292
0.121 0.500 0.879
0.121 0.879 0.500
0.161 0.409 0.409
0.409 0.161 0.409
0.409 0.409 0.161
0.500 0.121 0.879
0.500 0.879 0.121
0.591 0.591 0.839
0.591 0.839 0.591
0.839 0.591 0.591
0.879 0.121 0.500
0.879 0.500 0.121
```

Entry 3:
This record from the Alexandria database describes SmAl4Pd4 after structural relaxation. The functional is GGA-PBE.

```
SmAl4Pd4
1.0
-4.276 4.276 2.376
4.276 -4.276 2.376
4.276 4.276 -2.376
Sm Al Pd
1 4 4
Direct
0.000 0.000 0.000
0.114 0.606 0.720
0.394 0.114 0.509
0.606 0.886 0.491
0.886 0.394 0.280
0.180 0.313 0.493
0.313 0.820 0.133
0.687 0.180 0.867
0.820 0.687 0.507
```

Entry 4:
This record from the Alexandria database describes SmAl6Pd3 after structural relaxation. The functional is GGA-PBE.

```
SmAl6Pd3
1.0
8.460 0.000 0.000
0.000 4.341 0.000
-1.420 0.000 9.517
Sm Al Pd
2 12 6
Direct
0.074 0.250 0.261
0.926 0.750 0.739
0.115 0.250 0.606
0.150 0.750 0.037
0.292 0.750 0.774
0.349 0.750 0.291
0.398 0.250 0.463
0.455 0.250 0.910
0.545 0.750 0.090
0.602 0.750 0.537
0.651 0.250 0.709
0.708 0.250 0.226
0.850 0.250 0.963
0.885 0.750 0.394
0.155 0.250 0.890
0.208 0.750 0.505
0.402 0.250 0.160
0.598 0.750 0.840
0.792 0.250 0.495
0.845 0.750 0.110
```

Entry 5:
This record from the Alexandria database describes SmAl4Pd6 after structural relaxation. The functional is GGA-PBE.

```
SmAl4Pd6
1.0
-3.200 3.200 4.839
3.200 -3.200 4.839
3.200 3.200 -4.839
Sm Al Pd
1 4 6
Direct
0.000 0.000 0.000
0.240 0.566 0.000
0.434 0.434 0.674
0.566 0.240 0.000
0.760 0.760 0.326
0.000 0.500 0.500
0.113 0.113 0.588
0.475 0.887 0.000
0.500 0.000 0.500
0.525 0.525 0.412
0.887 0.475 0.000
```

Entry 6:
This record from the Alexandria database describes Sm2Al7Pd after structural relaxation. The functional is GGA-PBE.

```
Sm2Al7Pd
1.0
4.213 0.000 0.000
0.000 4.213 0.000
0.000 0.000 11.165
Sm Al Pd
2 7 1
Direct
0.000 0.500 0.248
0.500 0.000 0.752
0.000 0.000 0.000
0.000 0.500 0.631
0.000 0.500 0.856
0.500 0.000 0.144
0.500 0.000 0.369
0.500 0.500 0.000
0.500 0.500 0.500
0.000 0.000 0.500
```

Entry 7:
This record from the Alexandria database describes Sm2Al2SnPd5 after structural relaxation. The functional is GGA-PBE.

```
Sm2Al2SnPd5
1.0
10.169 0.000 0.000
0.000 10.169 0.000
0.000 0.000 3.692
Sm Al Sn Pd
4 4 2 10
Direct
0.183 0.317 0.000
0.317 0.817 0.000
0.683 0.183 0.000
0.817 0.683 0.000
0.114 0.614 0.000
0.386 0.114 0.000
0.614 0.886 0.000
0.886 0.386 0.000
0.000 0.000 0.000
0.500 0.500 0.000
0.000 0.500 0.500
0.059 0.785 0.500
0.215 0.059 0.500
0.285 0.559 0.500
0.441 0.285 0.500
0.500 0.000 0.500
0.559 0.715 0.500
0.715 0.441 0.500
0.785 0.941 0.500
0.941 0.215 0.500
```

Entry 8:
This record from the Alexandria database describes Sm2Al4SnPd3 after structural relaxation. The functional is GGA-PBE.

```
Sm2Al4SnPd3
1.0
4.310 0.000 0.000
0.000 4.310 0.000
0.000 0.000 10.757
Sm Al Sn Pd
2 4 1 3
Direct
0.000 0.500 0.240
0.500 0.000 0.760
0.000 0.000 0.000
0.000 0.500 0.652
0.500 0.000 0.348
0.500 0.500 0.000
0.000 0.000 0.500
0.000 0.500 0.877
0.500 0.000 0.123
0.500 0.500 0.500
```

no.,uncorrected energy (eV per atom)
1,-5.1664
2,-5.4386
3,-5.1724
4,-4.9404
5,-5.2007
6,-4.5655
7,-5.4371
8,-5.1581